(1)
# ThAsH, relaxed, DFT PBE
data_ThAsH
_symmetry_space_group_name_H-M 'I 4 m m'
_symmetry_Int_Tables_number 107
_symmetry_space_group_name_Hall 'I 4 -2'
_cell_length_a 3.913
_cell_length_b 3.913
_cell_length_c 8.066
_cell_angle_alpha 90.00
_cell_angle_beta 90.00
_cell_angle_gamma 90.00
loop_
_atom_site_label
_atom_site_fract_x
_atom_site_fract_y
_atom_site_fract_z
Th1 0.000 0.000 0.000
As1 0.000 0.000 0.365
H1 0.000 0.000 0.710
# * mass density: 8282 kg/m³
# * energy: -5.635 eV/atom
# * DOS(E_F): 0.6 states/eV/f.u.
# * M_tot: 0.00 μB/f.u.
# * crystal system: tetragonal
# * energy relative to the lowest polymorph listed for this composition: 0.594 eV/atom

***

(2)
# Th2AsH, relaxed, DFT PBE
data_Th2AsH
_symmetry_space_group_name_H-M 'P 1 2/c 1'
_symmetry_Int_Tables_number 13
_cell_length_a 5.996
_cell_length_b 6.003
_cell_length_c 11.842
_cell_angle_alpha 90.00
_cell_angle_beta 120.06
_cell_angle_gamma 90.00
loop_
_symmetry_equiv_pos_as_xyz
'x,y,z'
'-x,-y,-z'
'-x,y,-z+1/2'
'x,-y,z+1/2'
loop_
_atom_site_label
_atom_site_fract_x
_atom_site_fract_y
_atom_site_fract_z
Th1 0.081 0.240 0.089
Th2 0.344 0.247 0.841
As1 0.381 0.257 0.374
H1 0.251 0.129 0.627
# * mass density: 9722 kg/m³
# * energy: -6.395 eV/atom
# * DOS(E_F): 2.9 states/eV/f.u.
# * M_tot: 0.00 μB/f.u.
# * crystal system: monoclinic
# * energy relative to the lowest polymorph listed for this composition: 0.004 eV/atom

***

(3)
# Th3As2H2, relaxed, DFT PBE
data_Th3As2H2
_symmetry_space_group_name_H-M 'P 1 21/c 1'
_symmetry_Int_Tables_number 14
_cell_length_a 6.203
_cell_length_b 7.170
_cell_length_c 7.453
_cell_angle_alpha 90.00
_cell_angle_beta 118.04
_cell_angle_gamma 90.00
loop_
_symmetry_equiv_pos_as_xyz
'x,y,z'
'-x,-y,-z'
'-x,y+1/2,-z+1/2'
'x,-y+1/2,z+1/2'
loop_
_atom_site_label
_atom_site_fract_x
_atom_site_fract_y
_atom_site_fract_z
Th1 0.000 0.000 0.000
Th2 0.347 0.082 0.713
As1 0.239 0.699 0.893
H1 0.351 0.133 0.040
# * mass density: 9626 kg/m³
# * energy: -6.215 eV/atom
# * DOS(E_F): 3.4 states/eV/f.u.
# * M_tot: 0.00 μB/f.u.
# * crystal system: monoclinic

***

(4)
# Ti2AsH, relaxed, DFT PBE
data_Ti2AsH
_symmetry_space_group_name_H-M 'C m m m'
_symmetry_Int_Tables_number 65
_symmetry_space_group_name_Hall '-C 2 2'
_cell_length_a 6.953
_cell_length_b 8.903
_cell_length_c 3.570
_cell_angle_alpha 90.00
_cell_angle_beta 90.00
_cell_angle_gamma 90.00
loop_
_atom_site_label
_atom_site_fract_x
_atom_site_fract_y
_atom_site_fract_z
Ti1 0.000 0.000 0.000
Ti2 0.000 0.500 0.500
Ti3 0.250 0.250 0.000
As1 0.000 0.208 0.500
H1 0.194 0.500 0.000
# * mass density: 5160 kg/m³
# * energy: -6.442 eV/atom
# * DOS(E_F): 2.8 states/eV/f.u.
# * M_tot: 0.00 μB/f.u.
# * crystal system: orthorhombic
# * energy relative to the lowest polymorph listed for this composition: 0.266 eV/atom